[1]
{"formula": "Ho5In2Ir2Au", "functional": "PBE-GGA", "state": "relaxed", "lattice": [[-3.245, -0.223, -1.629], [-3.918, -6.676, 8.719], [-3.523, 9.533, 5.715]], "species": ["Ho", "Ho", "Au", "Ir", "Ho", "Ir", "Ir", "Ir", "Ho", "Ho", "In", "Au", "Ho", "Ho", "In", "In", "Ho", "Ho", "Ho", "In"], "fractional_positions": [[0.500, 0.075, 0.800], [0.500, 0.200, 0.075], [0.000, 0.500, 0.500], [0.000, 0.865, 0.365], [0.500, 0.425, 0.300], [0.000, 0.635, 0.865], [0.000, 0.365, 0.135], [0.000, 0.135, 0.635], [0.500, 0.300, 0.575], [0.500, 0.925, 0.200], [0.000, 0.827, 0.673], [0.000, 0.000, 0.000], [0.500, 0.575, 0.700], [0.500, 0.700, 0.425], [0.000, 0.673, 0.173], [0.000, 0.327, 0.827], [0.500, 0.800, 0.925], [0.500, 0.000, 0.500], [0.500, 0.500, 0.000], [0.000, 0.173, 0.327]], "ef_ev_per_atom": -0.69, "crystal_system": "tetragonal"}

[2]
{"formula": "HgHN3", "functional": "PBE-GGA", "state": "relaxed", "lattice": [[4.424, 0.000, 0.000], [0.000, 4.424, 0.000], [0.000, 0.000, 4.424]], "species": ["H", "Hg", "N", "N", "N"], "fractional_positions": [[0.500, 0.500, 0.500], [0.000, 0.000, 0.000], [0.500, 0.000, 0.000], [0.000, 0.000, 0.500], [0.000, 0.500, 0.000]], "crystal_system": "cubic", "final_energy_ev_per_atom": -2.56}

[3]
{"formula": "Ge3TeBr", "functional": "PBE-GGA", "state": "relaxed", "lattice": [[5.253, 0.000, 0.000], [0.000, 5.253, 0.000], [0.000, 0.000, 5.253]], "species": ["Br", "Te", "Ge", "Ge", "Ge"], "fractional_positions": [[0.000, 0.000, 0.000], [0.500, 0.500, 0.500], [0.500, 0.000, 0.000], [0.000, 0.500, 0.000], [0.000, 0.000, 0.500]], "crystal_system": "cubic", "e_form_raw_ev_per_atom": 0.88}

[4]
{"formula": "SrLiW2", "functional": "PBE-GGA", "state": "relaxed", "lattice": [[-1.848, 4.169, -3.035], [-1.918, 0.654, 2.067], [2.940, 3.152, 2.540]], "species": ["W", "Sr", "Li", "W"], "fractional_positions": [[0.000, 0.393, 0.492], [0.500, 0.750, 0.750], [0.500, 0.250, 0.250], [0.000, 0.107, 0.008]], "ef_ev_per_atom": 0.95, "crystal_system": "monoclinic"}

[5]
{"formula": "CaMg6AlO8", "functional": "PBE-GGA", "state": "relaxed", "lattice": [[-1.173, -3.317, 2.711], [-2.385, -1.829, -3.270], [6.881, -4.485, -2.510]], "species": ["O", "Mg", "O", "O", "Mg", "Mg", "O", "O", "O", "Mg", "O", "Ca", "Mg", "O", "Al", "Mg"], "fractional_positions": [[0.000, 0.500, 0.000], [0.000, 0.500, 0.756], [0.500, 0.000, 0.000], [0.000, 0.000, 0.778], [0.500, 0.000, 0.756], [0.500, 0.000, 0.244], [0.000, 0.500, 0.500], [0.500, 0.000, 0.500], [0.500, 0.500, 0.751], [0.500, 0.500, 0.000], [0.000, 0.000, 0.222], [0.000, 0.000, 0.500], [0.500, 0.500, 0.500], [0.500, 0.500, 0.249], [0.000, 0.000, 0.000], [0.000, 0.500, 0.244]], "crystal_system": "tetragonal", "e_form_raw_ev_per_atom": -2.51}

[6]
{"formula": "Ca2Te", "functional": "PBE-GGA", "state": "relaxed", "lattice": [[-1.960, 1.960, 6.724], [1.960, -1.960, 6.724], [1.960, 1.960, -6.724]], "species": ["Ca", "Te", "Ca"], "fractional_positions": [[0.637, 0.637, 0.000], [0.000, 0.000, 0.000], [0.363, 0.363, 0.000]], "crystal_system": "tetragonal", "e_form_raw_ev_per_atom": -0.92}

[7]
{"formula": "Th2NbN", "functional": "PBE-GGA", "state": "relaxed", "lattice": [[-3.223, 0.176, 1.040], [-1.590, -2.796, 1.073], [1.200, 0.760, 9.117]], "species": ["Th", "N", "Th", "Nb"], "fractional_positions": [[0.891, 0.891, 0.327], [0.500, 0.500, 0.500], [0.109, 0.109, 0.673], [0.000, 0.000, 0.000]], "crystal_system": "trigonal", "e_form_raw_ev_per_atom": -0.08}

[8]
{"formula": "Nd5AgRh4", "functional": "PBE-GGA", "state": "relaxed", "lattice": [[-2.030, -2.849, -0.691], [2.602, -2.138, 1.173], [-6.894, 0.833, 16.815]], "species": ["Rh", "Rh", "Rh", "Rh", "Nd", "Ag", "Nd", "Nd", "Nd", "Nd"], "fractional_positions": [[0.000, 0.000, 0.597], [0.000, 0.000, 0.794], [0.000, 0.000, 0.403], [0.000, 0.000, 0.206], [0.500, 0.500, 0.693], [0.000, 0.000, 0.000], [0.500, 0.500, 0.884], [0.500, 0.500, 0.500], [0.500, 0.500, 0.307], [0.500, 0.500, 0.116]], "ef_ev_per_atom": -0.58, "crystal_system": "tetragonal"}

[9]
{"formula": "Ce5OsPt", "functional": "PBE-GGA", "state": "relaxed", "lattice": [[-0.966, -3.985, 3.979], [5.320, -0.956, 1.852], [0.673, 5.517, 9.841]], "species": ["Ce", "Ce", "Ce", "Pt", "Pt", "Ce", "Ce", "Os", "Ce", "Ce", "Os", "Ce", "Ce", "Ce"], "fractional_positions": [[0.074, 0.506, 0.844], [0.517, 0.245, 0.045], [0.933, 0.067, 0.750], [0.000, 0.000, 0.000], [0.000, 0.000, 0.500], [0.506, 0.074, 0.344], [0.067, 0.933, 0.250], [0.573, 0.427, 0.750], [0.483, 0.755, 0.955], [0.245, 0.517, 0.545], [0.427, 0.573, 0.250], [0.494, 0.926, 0.656], [0.755, 0.483, 0.455], [0.926, 0.494, 0.156]], "ef_ev_per_atom": -0.24, "crystal_system": "monoclinic"}

[10]
{"formula": "Tl3CoH", "functional": "PBE-GGA", "state": "relaxed", "lattice": [[-1.716, 4.287, -1.024], [-3.506, -0.662, 3.104], [2.670, 1.885, 3.418]], "species": ["Co", "Tl", "Tl", "Tl", "H"], "fractional_positions": [[0.500, 0.500, 0.500], [0.000, 0.500, 0.000], [0.500, 0.000, 0.000], [0.000, 0.000, 0.500], [0.000, 0.000, 0.000]], "crystal_system": "cubic", "final_energy_ev_per_atom": -2.79}

Repeat the sixth record exactly.
{"formula": "Ca2Te", "functional": "PBE-GGA", "state": "relaxed", "lattice": [[-1.960, 1.960, 6.724], [1.960, -1.960, 6.724], [1.960, 1.960, -6.724]], "species": ["Ca", "Te", "Ca"], "fractional_positions": [[0.637, 0.637, 0.000], [0.000, 0.000, 0.000], [0.363, 0.363, 0.000]], "crystal_system": "tetragonal", "e_form_raw_ev_per_atom": -0.92}